--- A ---
DFT (PBE-GGA) results for a relaxed Tb6Co2Rh crystal.

Cell: 6.4991 7.1483 11.5638 Å, 90.00 122.30 90.00°
Space group P2_1/c (No. 14)
Symmetry-distinct sites (fractional):
1 Tb 0.0808 0.0528 0.2421 x4
2 Tb 0.2403 0.6681 0.0868 x4
3 Tb 0.3871 0.1654 0.0671 x4
4 Co 0.3190 0.1219 0.7832 x4
5 Rh 0.5000 0.0000 0.5000 x2

total moment	0.0	μB per cell


--- B ---
DFT (PBE-GGA) results for a relaxed Tb6Co2Rh crystal.

Cell: 9.3380 9.4779 9.5783 Å, 90.00 90.00 90.00°
Space group Immm (No. 71)
Symmetry-distinct sites (fractional):
1 Tb 0.0000 0.1844 0.1740 x8
2 Tb 0.1776 0.2335 0.5000 x8
3 Tb 0.1856 0.5000 0.2466 x8
4 Co 0.0000 0.0000 0.3857 x4
5 Co 0.1668 0.0000 0.0000 x4
6 Rh 0.0000 0.5000 0.0000 x2
7 Rh 0.0000 0.5000 0.5000 x2

total moment	0.0	μB per cell


Stability, lowest: A


--- A ---
DFT (PBE-GGA) results for a relaxed Co3TcRh crystal.

Cell: 4.4641 4.4641 4.4641 Å, 90.00 90.00 90.00°
Space group Pm-3m (No. 221)
Symmetry-distinct sites (fractional):
1 Co 0.0000 0.0000 0.5000 x3
2 Tc 0.5000 0.5000 0.5000 x1
3 Rh 0.0000 0.0000 0.0000 x1

total moment	10.4	μB per cell


--- B ---
DFT (PBE-GGA) results for a relaxed Co3TcRh crystal.

Cell: 4.3272 4.3272 4.3272 Å, 90.00 90.00 90.00°
Space group Pm-3m (No. 221)
Symmetry-distinct sites (fractional):
1 Co 0.0000 0.0000 0.5000 x3
2 Tc 0.0000 0.0000 0.0000 x1
3 Rh 0.5000 0.5000 0.5000 x1

total moment	3.1	μB per cell


Stability, lowest: A


--- A ---
DFT (PBE-GGA) results for a relaxed CoTcRh4 crystal.

Cell: 7.1008 7.1008 7.1008 Å, 90.00 90.00 90.00°
Space group F-43m (No. 216)
Symmetry-distinct sites (fractional):
1 Co 0.0000 0.0000 0.0000 x4
2 Tc 0.2500 0.2500 0.2500 x4
3 Rh 0.1252 0.1252 0.6252 x16

total moment	5.2	μB per cell


--- B ---
DFT (PBE-GGA) results for a relaxed CoTcRh4 crystal.

Cell: 4.2887 7.4855 5.2724 Å, 90.00 90.00 90.00°
Space group Cmmm (No. 65)
Symmetry-distinct sites (fractional):
1 Co 0.0000 0.0000 0.0000 x2
2 Tc 0.0000 0.0000 0.5000 x2
3 Rh 0.0000 0.3340 0.2429 x8

total moment	3.3	μB per cell


--- C ---
DFT (PBE-GGA) results for a relaxed CoTcRh4 crystal.

Cell: 3.8036 11.3599 7.6522 Å, 90.00 90.00 90.00°
Space group Imma (No. 74)
Symmetry-distinct sites (fractional):
1 Co 0.0000 0.2500 0.1311 x4
2 Tc 0.0000 0.2500 0.6293 x4
3 Rh 0.0000 0.0870 0.8770 x8
4 Rh 0.0000 0.0909 0.3746 x8

total moment	8.9	μB per cell


Stability, lowest: A


--- A ---
DFT (PBE-GGA) results for a relaxed CoTeRh crystal.

Cell: 3.5381 3.5381 7.7270 Å, 90.00 90.00 90.00°
Space group I4mm (No. 107)
Symmetry-distinct sites (fractional):
1 Co 0.0000 0.0000 0.0000 x2
2 Te 0.0000 0.0000 0.6773 x2
3 Rh 0.0000 0.0000 0.3414 x2

total moment	3.0	μB per cell


--- B ---
DFT (PBE-GGA) results for a relaxed CoTeRh crystal.

Cell: 5.9208 5.9208 5.9208 Å, 90.00 90.00 90.00°
Space group F-43m (No. 216)
Symmetry-distinct sites (fractional):
1 Co 0.0000 0.0000 0.0000 x4
2 Te 0.2500 0.2500 0.7500 x4
3 Rh 0.0000 0.0000 0.5000 x4

total moment	1.1	μB per cell


Stability, lowest: A


--- A ---
DFT (PBE-GGA) results for a relaxed CoTeRh crystal.

Cell: 4.0925 4.0925 3.3328 Å, 90.00 90.00 120.00°
Space group P3m1 (No. 156)
Symmetry-distinct sites (fractional):
1 Co 0.0000 0.0000 0.0000 x1
2 Te 0.6667 0.3333 0.8436 x1
3 Rh 0.3333 0.6667 0.4749 x1

total moment	0.0	μB per cell


--- B ---
DFT (PBE-GGA) results for a relaxed CoTeRh crystal.

Cell: 3.8717 3.8717 8.4230 Å, 90.00 90.00 120.00°
Space group P-6m2 (No. 187)
Symmetry-distinct sites (fractional):
1 Co 0.0000 0.0000 0.0000 x1
2 Co 0.3333 0.6667 0.5000 x1
3 Te 0.0000 0.0000 0.3179 x2
4 Rh 0.3333 0.6667 0.1564 x2

total moment	1.2	μB per cell


Stability, lowest: B